Material: YVN2O
Method: DFT, PBE with a Hubbard U
State: optimized geometry

Cell and atoms, written as POSCAR:
```
YVN2O
1.0
4.3144 0.0000 0.0000
0.0000 4.3144 0.0000
0.0000 0.0000 4.2526
Y V N O
1 1 2 1
Direct
0.0000 0.0000 0.0000 Y
0.5000 0.5000 0.5000 V
0.0000 0.5000 0.0000 N
0.5000 0.0000 0.0000 N
0.0000 0.0000 0.5000 O
```

Magnetic moment, μB/cell: 0.1
DFT total energy, eV/atom: -6.342